1.
Entry from Alexandria: a relaxed DySnSe crystal (PBE).

The space group is I4/mmm (No. 139) and the conventional cell measures 4.0812, 4.0812 and 18.4056 Å, with angles of 90.00, 90.00 and 90.00 degrees. The distinct sites, in fractional coordinates, are Dy at (0.0000, 0.0000, 0.1520), Sn at (0.0000, 0.5000, 0.0000) and Se at (0.0000, 0.0000, 0.3118).

As for the total energy: -5.217 eV/atom. The value obtained for the density of states at the Fermi level is 4.8 states/eV per cell. As for the density: 7.8 g/cm³.

=====

2.
Entry from Alexandria: a relaxed Dy2SnSe4 crystal (PBE).

The space group is C2/m (No. 12) and the conventional cell measures 15.6649, 4.1552 and 7.1948 Å, with angles of 90.00, 115.52 and 90.00 degrees. The distinct sites, in fractional coordinates, are Dy at (0.2320, 0.0000, 0.2215), Sn at (0.0000, 0.5000, 0.5000), Se at (0.1316, 0.5000, 0.9530) and Se at (0.1431, 0.0000, 0.4962).

As for the total energy: -5.311 eV/atom. The value obtained for the offset from the most stable computed form is 2.6 meV/atom. As for the density: 6.0 g/cm³.

=====

3.
Entry from Alexandria: a relaxed Dy3Sn5Se12 crystal (PBE).

The space group is Ia-3d (No. 230) and the conventional cell measures 16.7112, 16.7112 and 16.7112 Å, with angles of 90.00, 90.00 and 90.00 degrees. The distinct sites, in fractional coordinates, are Dy at (0.0000, 0.2500, 0.1250), Sn at (0.0000, 0.0000, 0.0000), Sn at (0.0000, 0.2500, 0.3750) and Se at (0.0171, 0.0688, 0.6565).

As for the total energy: -4.606 eV/atom. The value obtained for the density of states at the Fermi level is 55.3 states/eV per cell. As for the density: 5.8 g/cm³.

=====

4.
Entry from Alexandria: a relaxed Dy4SnSe2 crystal (PBE).

The space group is Cmmm (No. 65) and the conventional cell measures 7.3276, 11.7840 and 4.5330 Å, with angles of 90.00, 90.00 and 90.00 degrees. The distinct sites, in fractional coordinates, are Dy at (0.2378, 0.0000, 0.0000), Dy at (0.2500, 0.2500, 0.5000), Sn at (0.0000, 0.5000, 0.5000) and Se at (0.0000, 0.1879, 0.0000).

As for the total energy: -5.172 eV/atom. The value obtained for the density of states at the Fermi level is 16.2 states/eV per cell. The value obtained for the offset from the most stable computed form is 262.7 meV/atom. As for the density: 7.9 g/cm³.

=====

5.
Entry from Alexandria: a relaxed Dy2SnSe4 crystal (PBE).

The space group is Cmcm (No. 63) and the conventional cell measures 4.0971, 13.5502 and 14.1190 Å, with angles of 90.00, 90.00 and 90.00 degrees. The distinct sites, in fractional coordinates, are Dy at (0.0000, 0.1372, 0.0656), Sn at (0.0000, 0.3993, 0.2500), Se at (0.0000, 0.0464, 0.2500), Se at (0.0000, 0.2295, 0.6167) and Se at (0.0000, 0.5000, 0.0000).

As for the total energy: -5.313 eV/atom. The value obtained for the offset from the most stable computed form is 0.0 meV/atom. As for the density: 6.4 g/cm³.

=====

6.
Entry from Alexandria: a relaxed Dy4SnSe2 crystal (PBE).

The space group is Cmcm (No. 63) and the conventional cell measures 4.1931, 13.1331 and 13.6889 Å, with angles of 90.00, 90.00 and 90.00 degrees. The distinct sites, in fractional coordinates, are Dy at (0.0000, 0.0000, 0.0000), Dy at (0.0000, 0.2701, 0.1237), Dy at (0.0000, 0.4386, 0.7500), Sn at (0.0000, 0.1077, 0.7500) and Se at (0.0000, 0.3642, 0.5590).

As for the total energy: -5.435 eV/atom. The value obtained for the density of states at the Fermi level is 19.2 states/eV per cell. The value obtained for the offset from the most stable computed form is 0.0 meV/atom. As for the density: 8.2 g/cm³.

=====

7.
Entry from Alexandria: a relaxed Dy3SnSe crystal (PBE).

The space group is P2_1/c (No. 14) and the conventional cell measures 9.1292, 6.6431 and 10.3281 Å, with angles of 90.00, 112.98 and 90.00 degrees. The distinct sites, in fractional coordinates, are Dy at (0.0496, 0.0904, 0.3307), Dy at (0.2014, 0.5849, 0.5323), Dy at (0.4061, 0.1865, 0.8266), Sn at (0.3536, 0.7018, 0.8466) and Se at (0.0987, 0.2288, 0.6010).

As for the total energy: -5.138 eV/atom. The value obtained for the density of states at the Fermi level is 19.7 states/eV per cell. As for the density: 7.9 g/cm³.

=====

8.
Entry from Alexandria: a relaxed Sr2DySnSe5 crystal (PBE).

The space group is Cmc2_1 (No. 36) and the conventional cell measures 4.2956, 18.1755 and 13.2131 Å, with angles of 90.00, 90.00 and 90.00 degrees. The distinct sites, in fractional coordinates, are Sr at (0.0000, 0.1112, 0.0000), Sr at (0.0000, 0.1379, 0.6300), Dy at (0.0000, 0.2130, 0.3405), Sn at (0.0000, 0.4629, 0.7706), Se at (0.0000, 0.0540, 0.3941), Se at (0.0000, 0.2821, 0.9854), Se at (0.0000, 0.3165, 0.6938), Se at (0.0000, 0.3667, 0.3184) and Se at (0.0000, 0.4905, 0.0796).

As for the total energy: -4.763 eV/atom. The value obtained for the density of states at the Fermi level is 10.4 states/eV per cell. As for the density: 5.5 g/cm³.

=====

9.
Entry from Alexandria: a relaxed Dy8Sn3Te4Se crystal (PBE).

The space group is R-3m (No. 166, hexagonal axes) and the conventional cell measures 8.6883, 8.6883 and 21.4080 Å, with angles of 90.00, 90.00 and 120.00 degrees. The distinct sites, in fractional coordinates, are Dy at (0.0000, 0.0000, 0.2462), Dy at (0.0013, 0.5006, 0.2445), Sn at (0.0000, 0.5000, 0.5000), Te at (0.0000, 0.0000, 0.0000), Te at (0.0000, 0.5000, 0.0000) and Se at (0.0000, 0.0000, 0.5000).

As for the total energy: -5.239 eV/atom. The value obtained for the density of states at the Fermi level is 7.0 states/eV per cell. As for the density: 8.0 g/cm³.

=====

10.
Entry from Alexandria: a relaxed Dy6Sn2Te3Se crystal (PBE).

The space group is C2/m (No. 12) and the conventional cell measures 18.9353, 4.3310 and 8.7032 Å, with angles of 90.00, 103.82 and 90.00 degrees. The distinct sites, in fractional coordinates, are Dy at (0.0036, 0.0000, 0.2344), Dy at (0.1605, 0.5000, 0.0881), Dy at (0.1685, 0.5000, 0.5747), Sn at (0.1662, 0.0000, 0.3303), Te at (0.0000, 0.5000, 0.5000), Te at (0.1665, 0.0000, 0.8337) and Se at (0.0000, 0.5000, 0.0000).

As for the total energy: -5.261 eV/atom. The value obtained for the density of states at the Fermi level is 8.8 states/eV per cell. As for the density: 8.0 g/cm³.

=====

11.
Entry from Alexandria: a relaxed Dy6Sn2TeSe3 crystal (PBE).

The space group is C2/m (No. 12) and the conventional cell measures 18.4487, 4.2419 and 8.4975 Å, with angles of 90.00, 102.85 and 90.00 degrees. The distinct sites, in fractional coordinates, are Dy at (0.0007, 0.0000, 0.2677), Dy at (0.1646, 0.5000, 0.5879), Dy at (0.1716, 0.5000, 0.0850), Sn at (0.1669, 0.0000, 0.3336), Te at (0.0000, 0.5000, 0.0000), Se at (0.0000, 0.5000, 0.5000) and Se at (0.1641, 0.0000, 0.8354).

As for the total energy: -5.441 eV/atom. The value obtained for the density of states at the Fermi level is 8.8 states/eV per cell. As for the density: 8.1 g/cm³.

=====

12.
Entry from Alexandria: a relaxed Dy8SnTe4Se3 crystal (PBE).

The space group is R-3m (No. 166, hexagonal axes) and the conventional cell measures 8.4674, 8.4674 and 21.2069 Å, with angles of 90.00, 90.00 and 120.00 degrees. The distinct sites, in fractional coordinates, are Dy at (0.0000, 0.0000, 0.2384), Dy at (0.0077, 0.5039, 0.7587), Sn at (0.0000, 0.0000, 0.5000), Te at (0.0000, 0.0000, 0.0000), Te at (0.0000, 0.5000, 0.0000) and Se at (0.0000, 0.5000, 0.5000).

As for the total energy: -5.407 eV/atom. The value obtained for the density of states at the Fermi level is 17.2 states/eV per cell. As for the density: 8.2 g/cm³.

=====

13.
Entry from Alexandria: a relaxed Dy6SnTe3Se2 crystal (PBE).

The space group is C2/m (No. 12) and the conventional cell measures 7.3512, 12.7113 and 7.5231 Å, with angles of 90.00, 108.98 and 90.00 degrees. The distinct sites, in fractional coordinates, are Dy at (0.2322, 0.0000, 0.2230), Dy at (0.2462, 0.3292, 0.2261), Sn at (0.0000, 0.5000, 0.0000), Te at (0.0000, 0.0000, 0.5000), Te at (0.0000, 0.3365, 0.5000) and Se at (0.0000, 0.1674, 0.0000).

As for the total energy: -5.381 eV/atom. The value obtained for the density of states at the Fermi level is 11.6 states/eV per cell. As for the density: 8.2 g/cm³.

=====

14.
Entry from Alexandria: a relaxed Dy6TlSn2Se3 crystal (PBE).

The space group is C2/m (No. 12) and the conventional cell measures 19.0421, 4.2070 and 8.6056 Å, with angles of 90.00, 110.83 and 90.00 degrees. The distinct sites, in fractional coordinates, are Dy at (0.0098, 0.0000, 0.2340), Dy at (0.1665, 0.5000, 0.0752), Dy at (0.1728, 0.5000, 0.5648), Tl at (0.0000, 0.5000, 0.5000), Sn at (0.1581, 0.0000, 0.8092), Se at (0.0000, 0.5000, 0.0000) and Se at (0.1686, 0.0000, 0.3214).

As for the total energy: -5.189 eV/atom. The value obtained for the density of states at the Fermi level is 10.4 states/eV per cell. As for the density: 8.5 g/cm³.

=====

15.
Entry from Alexandria: a relaxed Dy2Tl3SnSe6 crystal (PBE).

The space group is C2/m (No. 12) and the conventional cell measures 19.6157, 4.1512 and 9.1263 Å, with angles of 90.00, 109.17 and 90.00 degrees. The distinct sites, in fractional coordinates, are Dy at (0.1676, 0.0000, 0.3358), Tl at (0.0000, 0.5000, 0.5000), Tl at (0.1682, 0.0000, 0.8366), Sn at (0.0000, 0.5000, 0.0000), Se at (0.0100, 0.0000, 0.2296), Se at (0.1571, 0.5000, 0.1106) and Se at (0.1767, 0.5000, 0.5603).

As for the total energy: -4.482 eV/atom. The value obtained for the density of states at the Fermi level is 7.3 states/eV per cell. As for the density: 7.2 g/cm³.

=====

16.
Entry from Alexandria: a relaxed Dy3Tl4SnSe8 crystal (PBE).

The space group is R-3m (No. 166, hexagonal axes) and the conventional cell measures 8.3923, 8.3923 and 23.1771 Å, with angles of 90.00, 90.00 and 120.00 degrees. The distinct sites, in fractional coordinates, are Dy at (0.0000, 0.5000, 0.0000), Tl at (0.0000, 0.0000, 0.5000), Tl at (0.0000, 0.5000, 0.5000), Sn at (0.0000, 0.0000, 0.0000), Se at (0.0000, 0.0000, 0.2651) and Se at (0.0008, 0.5004, 0.2653).

As for the total energy: -4.576 eV/atom. The value obtained for the density of states at the Fermi level is 15.5 states/eV per cell. As for the density: 7.2 g/cm³.

=====

17.
Entry from Alexandria: a relaxed DyTl3Sn2Se6 crystal (PBE).

The space group is C2/m (No. 12) and the conventional cell measures 7.2464, 12.6010 and 8.0310 Å, with angles of 90.00, 107.51 and 90.00 degrees. The distinct sites, in fractional coordinates, are Dy at (0.0000, 0.0000, 0.0000), Tl at (0.0000, 0.1650, 0.5000), Tl at (0.0000, 0.5000, 0.5000), Sn at (0.0000, 0.3332, 0.0000), Se at (0.2348, 0.5000, 0.2046) and Se at (0.2358, 0.1660, 0.2081).

As for the total energy: -4.092 eV/atom. The value obtained for the density of states at the Fermi level is 14.8 states/eV per cell. As for the density: 7.1 g/cm³.

=====

| no. | formation energy without anion corrections (eV per formula unit) |
| --- | --- |
| 1 | -3.56 |
| 2 | -10.03 |
| 3 | -16.48 |
| 4 | -6.82 |
| 5 | -10.05 |
| 6 | -8.66 |
| 7 | -4.40 |
| 8 | -13.48 |
| 9 | -18.94 |
| 10 | -14.61 |
| 11 | -16.08 |
| 12 | -22.67 |
| 13 | -16.57 |
| 14 | -13.83 |
| 15 | -12.57 |
| 16 | -18.06 |
| 17 | -8.49 |